(1)
# Cu3Tc, relaxed, DFT GGA-PBE
data_Cu3Tc
_cell_length_a 7.5768
_cell_length_b 7.5002
_cell_length_c 3.6283
_cell_angle_alpha 90.00
_cell_angle_beta 90.00
_cell_angle_gamma 90.00
_space_group_name_H-M_alt 'C m c m'
_space_group_IT_number 63
_space_group_name_Hall '-C 2c 2'
loop_
_atom_site_label
_atom_site_fract_x
_atom_site_fract_y
_atom_site_fract_z
Cu1 0.0000 0.1222 0.2500
Cu2 0.2362 0.1298 0.7500
Tc1 0.0000 0.3959 0.7500
# ΔH_f (0 K): 0.157 eV per atom
# VASP energy: -5.507 eV per atom



(2)
# CaDy2Ni, relaxed, DFT GGA-PBE
data_CaDy2Ni
_cell_length_a 3.4444
_cell_length_b 3.4444
_cell_length_c 9.3307
_cell_angle_alpha 90.00
_cell_angle_beta 90.00
_cell_angle_gamma 90.00
_space_group_name_H-M_alt 'P 4/m m m'
_space_group_IT_number 123
_space_group_name_Hall '-P 4 2'
loop_
_atom_site_label
_atom_site_fract_x
_atom_site_fract_y
_atom_site_fract_z
Ca1 0.0000 0.0000 0.0000
Dy1 0.5000 0.5000 0.3287
Ni1 0.0000 0.0000 0.5000
# ΔH_f (0 K): -0.146 eV per atom
# energy above the most stable polymorph in this dataset: 0.0 meV/atom
# VASP energy: -4.393 eV per atom



(3)
# LaIr2, relaxed, DFT GGA-PBE
data_LaIr2
_cell_length_a 2.9278
_cell_length_b 9.8495
_cell_length_c 4.2772
_cell_angle_alpha 90.00
_cell_angle_beta 90.00
_cell_angle_gamma 90.00
_space_group_name_H-M_alt 'P n n m'
_space_group_IT_number 58
loop_
_space_group_symop_operation_xyz
'x,y,z'
'-x,-y,-z'
'-x,-y,z'
'x,y,-z'
'x+1/2,-y+1/2,-z+1/2'
'-x+1/2,y+1/2,z+1/2'
'-x+1/2,y+1/2,-z+1/2'
'x+1/2,-y+1/2,z+1/2'
loop_
_atom_site_label
_atom_site_fract_x
_atom_site_fract_y
_atom_site_fract_z
La1 0.0000 0.0000 0.0000
Ir1 0.1858 0.2817 0.0000
# ΔH_f (0 K): -0.210 eV per atom
# VASP energy: -7.760 eV per atom



(4)
# LiY2Se, relaxed, DFT GGA-PBE
data_LiY2Se
_cell_length_a 3.7502
_cell_length_b 3.7502
_cell_length_c 6.6055
_cell_angle_alpha 90.00
_cell_angle_beta 90.00
_cell_angle_gamma 90.00
_space_group_name_H-M_alt 'P 4/m m m'
_space_group_IT_number 123
_space_group_name_Hall '-P 4 2'
loop_
_atom_site_label
_atom_site_fract_x
_atom_site_fract_y
_atom_site_fract_z
Li1 0.0000 0.0000 0.0000
Y1 0.5000 0.5000 0.2512
Se1 0.0000 0.0000 0.5000
# energy relative to the elements, uncorrected: -0.67 eV/atom
# VASP energy: -5.253 eV per atom



(5)
# TaTeRu, relaxed, DFT GGA-PBE
data_TaTeRu
_cell_length_a 3.2015
_cell_length_b 4.8317
_cell_length_c 9.5784
_cell_angle_alpha 83.38
_cell_angle_beta 89.61
_cell_angle_gamma 70.66
_space_group_name_H-M_alt 'P -1'
_space_group_IT_number 2
loop_
_space_group_symop_operation_xyz
'x,y,z'
'-x,-y,-z'
loop_
_atom_site_label
_atom_site_fract_x
_atom_site_fract_y
_atom_site_fract_z
Ta1 0.0907 0.3119 0.1519
Te1 0.1845 0.1433 0.6856
Ru1 0.3675 0.7621 0.0675
# energy above the most stable polymorph in this dataset: 74.8 meV/atom
# energy relative to the elements, uncorrected: -0.16 eV/atom
# VASP energy: -8.251 eV per atom



(6)
# TbPm2Sm6Er, relaxed, DFT GGA-PBE
data_TbPm2Sm6Er
_cell_length_a 9.1540
_cell_length_b 15.2832
_cell_length_c 9.7500
_cell_angle_alpha 90.00
_cell_angle_beta 98.30
_cell_angle_gamma 90.00
_space_group_name_H-M_alt 'C 1 2/c 1'
_space_group_IT_number 15
loop_
_space_group_symop_operation_xyz
'x,y,z'
'-x,-y,-z'
'-x,y,-z+1/2'
'x,-y,z+1/2'
'x+1/2,y+1/2,z'
'-x+1/2,-y+1/2,-z'
'-x+1/2,y+1/2,-z+1/2'
'x+1/2,-y+1/2,z+1/2'
loop_
_atom_site_label
_atom_site_fract_x
_atom_site_fract_y
_atom_site_fract_z
Tb1 0.0000 0.0209 0.2500
Pm1 0.2480 0.0510 0.5427
Sm1 0.0621 0.1857 0.9444
Sm2 0.1031 0.3944 0.1196
Sm3 0.2054 0.2221 0.3118
Er1 0.0000 0.4085 0.7500
# ΔH_f (0 K): 0.116 eV per atom
# VASP energy: -4.585 eV per atom